Entry 1:
Computed, not measured: a geometry-optimized YScS2 structure at the PBE level of DFT.

Unit cell a=5.9430 b=5.9430 c=7.2775 alpha=65.90 beta=65.90 gamma=90.00
Last column: nearest neighbours and their distance in Å.
Element x y z (fractional)
Sc: 0.2500 0.7500 0.5000  4 S 2.50
Sc: 0.5000 0.5000 0.0000  4 S 2.50
S: 0.3750 0.3962 0.7500  2 Sc 2.50, 2 Y 2.65
S: 0.6038 0.1250 0.2500  2 Sc 2.50, 2 Y 2.65
S: 0.1462 0.6250 0.2500  2 Sc 2.50, 2 Y 2.65
S: 0.8750 0.8538 0.7500  2 Sc 2.50, 2 Y 2.65
Y: 0.7500 0.2500 0.5000  4 S 2.65
Y: 0.0000 0.0000 0.0000  4 S 2.65

- energy relative to the elements, uncorrected (meV/atom) = -1557
- energy relative to the lowest polymorph listed for this composition (meV per atom) = 373


Entry 2:
Computed, not measured: a geometry-optimized Y2ScS4 structure at the PBE level of DFT.

Unit cell a=7.9087 b=7.9087 c=7.9149 alpha=120.00 beta=119.98 gamma=89.97
Last column: nearest neighbours and their distance in Å.
Element x y z (fractional)
S: 0.3785 0.6221 0.7572  1 Sc 2.49, 3 Y 2.76
S: 0.8715 0.1279 0.7428  1 Sc 2.49, 3 Y 2.76
S: 0.8648 0.6212 0.2428  1 Sc 2.49, 3 Y 2.76
S: 0.3780 0.6216 0.2429  1 Sc 2.49, 3 Y 2.76
S: 0.3852 0.1288 0.2572  1 Sc 2.49, 3 Y 2.76
S: 0.8720 0.1284 0.2571  1 Sc 2.49, 3 Y 2.76
S: 0.8714 0.6149 0.7430  1 Sc 2.49, 3 Y 2.76
S: 0.3786 0.1351 0.7570  1 Sc 2.49, 3 Y 2.76
Y: 0.1250 0.3750 0.7500  6 S 2.76
Y: 0.6250 0.3750 0.7500  6 S 2.76
Y: 0.6250 0.3750 0.2500  6 S 2.76
Y: 0.6250 0.8750 0.2500  6 S 2.76
Sc: 0.2499 0.7499 0.5000  4 S 2.49
Sc: 0.0001 0.0001 0.0000  4 S 2.49

- energy relative to the elements, uncorrected (meV/atom) = -1909
- energy relative to the lowest polymorph listed for this composition (meV per atom) = 31


Entry 3:
Computed, not measured: a geometry-optimized YSc3S6 structure at the PBE level of DFT.

Unit cell a=3.7678 b=10.6332 c=10.8297 alpha=109.45 beta=90.00 gamma=90.00
Last column: nearest neighbours and their distance in Å.
Element x y z (fractional)
S: 0.2500 0.6071 0.9410  4 Sc 2.58-2.64
S: 0.7500 0.4758 0.6131  4 Sc 2.54-2.84
S: 0.2500 0.8816 0.5345  2 Sc 2.77, 3 Y 2.78-2.85
S: 0.7500 0.1184 0.4655  2 Sc 2.77, 3 Y 2.78-2.85
S: 0.2500 0.0810 0.9085  3 Sc 2.58-2.63
S: 0.7500 0.7339 0.2704  3 Sc 2.62-2.72, 2 Y 2.91
S: 0.7500 0.7997 0.7505  3 Sc 2.51-2.59
S: 0.7500 0.3929 0.0590  4 Sc 2.58-2.64
S: 0.2500 0.5242 0.3869  4 Sc 2.54-2.84
S: 0.7500 0.9190 0.0915  3 Sc 2.58-2.63
S: 0.2500 0.2661 0.7296  3 Sc 2.62-2.72, 2 Y 2.91
S: 0.2500 0.2003 0.2495  3 Sc 2.51-2.59
Sc: 0.2500 0.5592 0.1651  6 S 2.55-2.64
Sc: 0.2500 0.8396 0.9126  6 S 2.51-2.63
Sc: 0.7500 0.1604 0.0874  6 S 2.51-2.63
Sc: 0.7500 0.4408 0.8349  6 S 2.55-2.64
Sc: 0.7500 0.6813 0.4997  7 S 2.54-2.84
Sc: 0.2500 0.3187 0.5003  7 S 2.54-2.84
Y: 0.2500 0.9514 0.3026  8 S 2.78-2.91
Y: 0.7500 0.0486 0.6974  8 S 2.78-2.91

- energy relative to the elements, uncorrected (meV/atom) = -1937


Entry 4:
Computed, not measured: a geometry-optimized YSc4S4 structure at the PBE level of DFT.

Unit cell a=3.7163 b=6.4286 c=8.2394 alpha=74.52 beta=76.97 gamma=73.20
Last column: nearest neighbours and their distance in Å.
Element x y z (fractional)
Sc: 0.2905 0.6157 0.8032  5 S 2.58-2.59
Sc: 0.1004 0.1957 0.6036  4 S 2.55-2.58
Sc: 0.8996 0.8043 0.3964  4 S 2.55-2.58
Sc: 0.7095 0.3843 0.1968  5 S 2.58-2.59
S: 0.7044 0.9027 0.6885  5 Sc 2.55-2.59, 1 Y 2.69
S: 0.2956 0.0973 0.3115  5 Sc 2.55-2.59, 1 Y 2.69
S: 0.8951 0.3210 0.8887  4 Sc 2.57-2.59, 2 Y 2.72
S: 0.1049 0.6790 0.1113  4 Sc 2.57-2.59, 2 Y 2.72
Y: 0.5000 0.0000 0.0000  6 S 2.69-2.72

- energy relative to the elements, uncorrected (meV/atom) = -1674


Entry 5:
Computed, not measured: a geometry-optimized YScS2 structure at the PBE level of DFT.

Unit cell a=3.7339 b=3.7339 c=6.8885 alpha=74.27 beta=74.27 gamma=60.00
Last column: nearest neighbours and their distance in Å.
Element x y z (fractional)
S: 0.0760 0.0760 0.7720  3 Sc 2.55, 3 Y 2.73
S: 0.2562 0.2562 0.2314  3 Sc 2.71, 3 Y 2.84
Y: 0.4950 0.4950 0.5151  6 S 2.73-2.84
Sc: 0.6728 0.6728 0.9815  6 S 2.55-2.71

- energy relative to the elements, uncorrected (meV/atom) = -1916
- energy relative to the lowest polymorph listed for this composition (meV per atom) = 14


Entry 6:
Computed, not measured: a geometry-optimized YScS2 structure at the PBE level of DFT.

Unit cell a=8.2831 b=8.2831 c=8.2831 alpha=27.58 beta=27.58 gamma=27.58
Last column: nearest neighbours and their distance in Å.
Element x y z (fractional)
Y: 0.5000 0.5000 0.5000  6 S 2.73
S: 0.8959 0.8959 0.8959  1 Sc 2.49, 3 Y 2.73
S: 0.1041 0.1041 0.1041  1 Sc 2.49, 3 Y 2.73
Sc: 0.0000 0.0000 0.0000  2 S 2.49

- energy relative to the elements, uncorrected (meV/atom) = -1471
- energy relative to the lowest polymorph listed for this composition (meV per atom) = 458


Number 1: volume 209.85 Å³/cell. Number 2: volume 350.25 Å³/cell. Number 3: volume 409.12 Å³/cell. Number 4: volume 179.24 Å³/cell. Number 5: volume 79.00 Å³/cell. Number 6: volume 107.53 Å³/cell.